Compound: BaCr2F6
Source: Alexandria via LeMat-Bulk
Functional: PBE with a Hubbard U
Structure: relaxed

Computed properties:
total moment: 8.000 μB per formula unit
total DFT energy (no corrections): -55.10 eV/f.u.

Geometry as CIF:
```
data_BaCr2F6
_chemical_formula_sum 'Ba2 Cr4 F12'
_space_group_name_H-M_alt 'C 1 2/m 1'
_space_group_IT_number 12
_cell_length_a 6.015
_cell_length_b 9.466
_cell_length_c 5.561
_cell_angle_alpha 90.00
_cell_angle_beta 93.46
_cell_angle_gamma 90.00
loop_
_space_group_symop_operation_xyz
'x,y,z'
'-x,-y,-z'
'-x,y,-z'
'x,-y,z'
'x+1/2,y+1/2,z'
'-x+1/2,-y+1/2,-z'
'-x+1/2,y+1/2,-z'
'x+1/2,-y+1/2,z'
loop_
_atom_site_label
_atom_site_type_symbol
_atom_site_fract_x
_atom_site_fract_y
_atom_site_fract_z
Ba1 Ba 0.000 0.000 0.000
Cr1 Cr 0.000 0.333 0.500
F1 F 0.132 0.500 0.702
F2 F 0.163 0.188 0.711
```